A plane-wave DFT calculation with PBE-GGA was carried out for a relaxed SrCoH5 crystal.

Values from the calculation:
Space-group type: Immm
Uncorrected energy in eV per formula unit: -27.108
Calculated density in g/cm3: 3.92

Unit cell a=3.442 b=4.726 c=4.726 alpha=68.57 beta=68.64 gamma=68.64
Atoms (fractional coordinates):
Co (0.000, 0.000, 0.000)
H (0.847, 0.360, 0.947)
Sr (0.500, 0.500, 0.500)
H (0.847, 0.947, 0.360)
H (0.500, 0.000, 0.000)
H (0.153, 0.640, 0.053)
H (0.153, 0.053, 0.640)


A plane-wave DFT calculation with PBE-GGA was carried out for a relaxed SrCoH3 crystal.

Values from the calculation:
Space-group type: I-4m2
Uncorrected energy in eV per formula unit: -18.643
Calculated density in g/cm3: 4.22

Unit cell a=3.613 b=3.613 c=9.381 alpha=78.90 beta=78.90 gamma=90.00
Atoms (fractional coordinates):
H (0.067, 0.339, 0.867)
H (0.749, 0.749, 0.501)
H (0.206, 0.933, 0.133)
H (0.067, 0.794, 0.867)
Sr (0.856, 0.356, 0.288)
Co (0.250, 0.750, 0.500)
H (0.661, 0.933, 0.133)
Sr (0.644, 0.144, 0.712)
H (0.251, 0.251, 0.499)
Co (0.000, 0.000, 0.000)


A plane-wave DFT calculation with PBE-GGA was carried out for a relaxed SrCoH3 crystal.

Values from the calculation:
Space-group type: P2_1/c
Uncorrected energy in eV per formula unit: -20.232
Calculated density in g/cm3: 4.07

Unit cell a=18.576 b=4.551 c=6.530 alpha=90.00 beta=153.73 gamma=90.00
Atoms (fractional coordinates):
H (0.611, 0.000, 0.835)
H (0.040, 0.902, 0.966)
Sr (0.680, 0.256, 0.319)
Co (0.475, 0.745, 0.523)
H (0.413, 0.890, 0.575)
H (0.587, 0.110, 0.425)
H (0.460, 0.402, 0.534)
Sr (0.820, 0.756, 0.181)
H (0.960, 0.098, 0.034)
H (0.913, 0.610, 0.075)
H (0.540, 0.598, 0.466)
Sr (0.320, 0.744, 0.681)
H (0.889, 0.500, 0.665)
H (0.389, 0.000, 0.165)
Co (0.975, 0.755, 0.023)
Co (0.025, 0.245, 0.977)
H (0.087, 0.390, 0.925)
Co (0.525, 0.255, 0.477)
H (0.111, 0.500, 0.335)
Sr (0.180, 0.244, 0.819)


What is the uncorrected energy in the first record?
-27.108 eV per formula unit


calculated density of number 2 (SrCoH3)?
4.22 g/cm3


Among the records above, which one has the highest uncorrected energy?
number 2


Among the records above, which one has the highest uncorrected energy?
number 2